(1)
VASP calculation (PBE-GGA) on a relaxed Rh2SeCl crystal.

- Relative energy among the computed polymorphs: 449 meV/atom
- Formation energy from raw total energies: 0.389 eV per atom
- Symmetry: I-4m2, No. 119
- Crystal system: tetragonal
- Fermi-level density of states: 4.9 states/eV/f.u.

a b c (Å): 5.844 5.844 5.844
angles (deg): 144.43 144.43 51.18
Positions (direct):
Cl: 0.750 0.250 0.500
Rh: 0.250 0.750 0.500
Se: 0.500 0.500 0.000
Rh: 0.000 0.000 0.000

(2)
VASP calculation (PBE-GGA) on a relaxed GdThHgSb crystal.

- Formation energy from raw total energies: -0.525 eV per atom
- Symmetry: F-43m, No. 216
- Crystal system: cubic
- Fermi-level density of states: 5.4 states/eV/f.u.

a b c (Å): 5.401 5.401 5.401
angles (deg): 60.00 60.00 60.00
Each line ends with the local moment (μB).
Positions (direct):
Th: 0.250 0.250 0.250  0.18
Gd: 0.750 0.750 0.750  7.17
Sb: 0.000 0.000 0.000  -0.01
Hg: 0.500 0.500 0.500  0.00

(3)
VASP calculation (PBE-GGA) on a relaxed Pr3PuO6 crystal.

- Formation energy from raw total energies: -3.197 eV per atom
- Symmetry: R-3, No. 148
- Crystal system: trigonal
- Fermi-level density of states: 6.4 states/eV/f.u.

a b c (Å): 7.076 7.076 7.076
angles (deg): 91.67 91.67 91.67
Each line ends with the local moment (μB).
Positions (direct):
O: 0.066 0.313 0.904  -0.02
O: 0.188 0.529 0.400  -0.02
Pr: 0.062 0.252 0.555  0.03
O: 0.687 0.096 0.934  -0.02
O: 0.313 0.904 0.066  -0.02
O: 0.400 0.188 0.529  -0.02
O: 0.471 0.600 0.812  -0.02
O: 0.600 0.812 0.471  -0.02
Pu: 0.000 0.000 0.000  4.97
O: 0.812 0.471 0.600  -0.02
Pr: 0.938 0.748 0.445  0.03
O: 0.529 0.400 0.188  -0.02
Pr: 0.555 0.062 0.252  0.03
Pr: 0.445 0.938 0.748  0.03
O: 0.934 0.687 0.096  -0.02
Pu: 0.500 0.500 0.500  4.79
O: 0.096 0.934 0.687  -0.02
O: 0.904 0.066 0.313  -0.02
Pr: 0.748 0.445 0.938  0.03
Pr: 0.252 0.555 0.062  0.03